[1]
Li2TiTl2 | PBE | optimized geometry

It has space group P4/mbm (No. 127), with a = 7.787 Å, b = 7.787 Å, c = 3.117 Å, α = 90.00°, β = 90.00° and γ = 90.00°. The inequivalent atoms are Li at (0.118, 0.382, 0.000), Ti at (0.000, 0.000, 0.000) and Tl at (0.182, 0.682, 0.500).

The formation energy is 0.036 eV per atom.

=====

[2]
Na2SrCa | PBE | optimized geometry

It has space group I-42d (No. 122), with a = 9.659 Å, b = 9.659 Å, c = 7.687 Å, α = 90.00°, β = 90.00° and γ = 90.00°. The inequivalent atoms are Na at (0.239, 0.250, 0.125), Sr at (0.000, 0.000, 0.500) and Ca at (0.000, 0.000, 0.000).

The formation energy is 0.216 eV per atom.

=====

[3]
Ti2ReH | PBE | optimized geometry

It has space group P4/mmm (No. 123), with a = 2.974 Å, b = 2.974 Å, c = 6.077 Å, α = 90.00°, β = 90.00° and γ = 90.00°. The inequivalent atoms are Ti at (0.000, 0.000, 0.236), Re at (0.500, 0.500, 0.500) and H at (0.500, 0.500, 0.000).

=====

[4]
CdSi2Au | PBE | optimized geometry

It has space group P4/mmm (No. 123), with a = 4.161 Å, b = 4.161 Å, c = 4.207 Å, α = 90.00°, β = 90.00° and γ = 90.00°. The inequivalent atoms are Cd at (0.000, 0.000, 0.000), Si at (0.000, 0.500, 0.500) and Au at (0.500, 0.500, 0.000).

The uncorrected formation energy is 1.6 eV per formula unit.

=====

no.,energy (eV/atom)
1,-3.2549
2,-1.3648
3,-7.7924
4,-3.3696